[1]
# Cs2CeBr4Cl2 | Alexandria | PBE | relaxed
# SG: C2/m, No. 12
# VASP energy, eV per atom: -3.853
# V, Å³ per cell: 352.0
data_Cs2CeBr4Cl2
_chemical_formula_sum 'Cs2 Ce1 Br4 Cl2'
_cell_length_a 6.554
_cell_length_b 7.859
_cell_length_c 7.859
_cell_angle_alpha 60.64
_cell_angle_beta 86.60
_cell_angle_gamma 86.60
_space_group_name_H-M_alt 'P 1'
_space_group_IT_number 1
_space_group_name_Hall 'P 1'
loop_
_atom_site_label
_atom_site_fract_x
_atom_site_fract_y
_atom_site_fract_z
Cs1 0.226 0.668 0.668
Cs2 0.774 0.332 0.332
Ce1 0.500 0.000 0.000
Br1 0.278 0.657 0.164
Br2 0.722 0.836 0.343
Br3 0.722 0.343 0.836
Br4 0.278 0.164 0.657
Cl1 0.242 0.157 0.157
Cl2 0.758 0.843 0.843

---

[2]
# HgPtCl2 | Alexandria | PBE | relaxed
# SG: Immm, No. 71
# VASP energy, eV per atom: -2.732
# ΔE to the lowest computed polymorph, meV per atom: 0.1
# V, Å³ per cell: 128.1
data_HgPtCl2
_chemical_formula_sum 'Hg1 Pt1 Cl2'
_cell_length_a 6.456
_cell_length_b 6.456
_cell_length_c 6.456
_cell_angle_alpha 148.99
_cell_angle_beta 109.57
_cell_angle_gamma 78.93
_space_group_name_H-M_alt 'P 1'
_space_group_IT_number 1
_space_group_name_Hall 'P 1'
loop_
_atom_site_label
_atom_site_fract_x
_atom_site_fract_y
_atom_site_fract_z
Hg1 0.250 0.750 0.500
Pt1 0.750 0.250 0.500
Cl1 0.906 0.906 0.000
Cl2 0.594 0.594 0.000

---

[3]
# K9Fe2S7 | Alexandria | PBE | relaxed
# SG: P2_13, No. 198
# VASP energy, eV per atom: -4.075
# V, Å³ per cell: 2075.0
data_K9Fe2S7
_chemical_formula_sum 'K36 Fe8 S28'
_cell_length_a 12.755
_cell_length_b 12.755
_cell_length_c 12.755
_cell_angle_alpha 90.00
_cell_angle_beta 90.00
_cell_angle_gamma 90.00
_space_group_name_H-M_alt 'P 1'
_space_group_IT_number 1
_space_group_name_Hall 'P 1'
loop_
_atom_site_label
_atom_site_fract_x
_atom_site_fract_y
_atom_site_fract_z
K1 0.709 0.822 0.542
K2 0.262 0.762 0.738
K3 0.738 0.262 0.762
K4 0.762 0.738 0.262
K5 0.059 0.059 0.059
K6 0.441 0.941 0.559
K7 0.559 0.441 0.941
K8 0.941 0.559 0.441
K9 0.833 0.002 0.300
K10 0.300 0.833 0.002
K11 0.002 0.300 0.833
K12 0.498 0.700 0.333
K13 0.800 0.667 0.998
K14 0.998 0.800 0.667
K15 0.200 0.167 0.502
K16 0.700 0.333 0.498
K17 0.587 0.913 0.087
K18 0.913 0.087 0.587
K19 0.087 0.587 0.913
K20 0.413 0.413 0.413
K21 0.322 0.958 0.291
K22 0.822 0.542 0.709
K23 0.502 0.200 0.167
K24 0.542 0.709 0.822
K25 0.209 0.678 0.458
K26 0.238 0.238 0.238
K27 0.958 0.291 0.322
K28 0.291 0.322 0.958
K29 0.458 0.209 0.678
K30 0.042 0.791 0.178
K31 0.791 0.178 0.042
K32 0.178 0.042 0.791
K33 0.667 0.998 0.800
K34 0.167 0.502 0.200
K35 0.333 0.498 0.700
K36 0.678 0.458 0.209
Fe1 0.099 0.401 0.599
Fe2 0.401 0.599 0.099
Fe3 0.599 0.099 0.401
Fe4 0.901 0.901 0.901
Fe5 0.430 0.070 0.930
Fe6 0.070 0.930 0.430
Fe7 0.930 0.430 0.070
Fe8 0.570 0.570 0.570
S1 0.206 0.294 0.706
S2 0.294 0.706 0.206
S3 0.706 0.206 0.294
S4 0.794 0.794 0.794
S5 0.424 0.941 0.812
S6 0.924 0.559 0.188
S7 0.576 0.441 0.688
S8 0.559 0.188 0.924
S9 0.688 0.576 0.441
S10 0.188 0.924 0.559
S11 0.941 0.812 0.424
S12 0.812 0.424 0.941
S13 0.441 0.688 0.576
S14 0.059 0.312 0.076
S15 0.312 0.076 0.059
S16 0.076 0.059 0.312
S17 0.588 0.931 0.336
S18 0.088 0.569 0.664
S19 0.412 0.431 0.164
S20 0.569 0.664 0.088
S21 0.164 0.412 0.431
S22 0.664 0.088 0.569
S23 0.931 0.336 0.588
S24 0.336 0.588 0.931
S25 0.431 0.164 0.412
S26 0.069 0.836 0.912
S27 0.836 0.912 0.069
S28 0.912 0.069 0.836

---

[4]
# HfCdH2Au | Alexandria | PBE | relaxed
# SG: P4/mmm, No. 123
# VASP energy, eV per atom: -4.126
# V, Å³ per cell: 83.8
data_HfCdH2Au
_chemical_formula_sum 'Hf1 Cd1 H2 Au1'
_cell_length_a 3.888
_cell_length_b 5.545
_cell_length_c 3.888
_cell_angle_alpha 90.00
_cell_angle_beta 90.00
_cell_angle_gamma 90.00
_space_group_name_H-M_alt 'P 1'
_space_group_IT_number 1
_space_group_name_Hall 'P 1'
loop_
_atom_site_label
_atom_site_fract_x
_atom_site_fract_y
_atom_site_fract_z
Hf1 0.000 0.000 0.000
Au1 0.000 0.500 0.000
H1 0.000 0.000 0.500
H2 0.500 0.000 0.000
Cd1 0.500 0.500 0.500

---

[5]
# PuH2Rh | Alexandria | PBE | relaxed
# SG: Pnma, No. 62
# VASP energy, eV per atom: -7.433
# ΔE to the lowest computed polymorph, meV per atom: 37.6
# V, Å³ per cell: 189.7
data_PuH2Rh
_chemical_formula_sum 'Pu4 H8 Rh4'
_cell_length_a 5.318
_cell_length_b 6.033
_cell_length_c 5.911
_cell_angle_alpha 90.02
_cell_angle_beta 90.00
_cell_angle_gamma 90.00
_space_group_name_H-M_alt 'P 1'
_space_group_IT_number 1
_space_group_name_Hall 'P 1'
loop_
_atom_site_label
_atom_site_fract_x
_atom_site_fract_y
_atom_site_fract_z
Pu1 0.006 0.684 0.329
Pu2 0.506 0.316 0.671
Pu3 0.506 0.816 0.829
Pu4 0.006 0.184 0.171
H1 0.506 0.170 0.090
H2 0.506 0.670 0.410
H3 0.006 0.830 0.910
H4 0.006 0.330 0.590
H5 0.756 0.500 0.000
H6 0.256 0.500 0.000
H7 0.256 0.000 0.500
H8 0.756 0.000 0.500
Rh1 0.006 0.553 0.795
Rh2 0.506 0.947 0.295
Rh3 0.006 0.053 0.705
Rh4 0.506 0.447 0.205

---

[6]
# Dy2CdPbO6 | Alexandria | PBE | relaxed
# SG: R3, No. 146
# VASP energy, eV per atom: -6.598
# V, Å³ per cell: 148.5
data_Dy2CdPbO6
_chemical_formula_sum 'Dy2 Cd1 Pb1 O6'
_cell_length_a 5.790
_cell_length_b 5.789
_cell_length_c 6.111
_cell_angle_alpha 61.72
_cell_angle_beta 61.72
_cell_angle_gamma 60.00
_space_group_name_H-M_alt 'P 1'
_space_group_IT_number 1
_space_group_name_Hall 'P 1'
loop_
_atom_site_label
_atom_site_fract_x
_atom_site_fract_y
_atom_site_fract_z
Dy1 0.523 0.523 0.430
Dy2 0.022 0.022 0.935
Cd1 0.801 0.801 0.597
Pb1 0.312 0.312 0.063
O1 0.610 0.219 0.243
O2 0.219 0.928 0.243
O3 0.928 0.610 0.243
O4 0.405 0.707 0.753
O5 0.707 0.134 0.753
O6 0.134 0.405 0.753

---

[7]
# SbPb2Cl | Alexandria | PBE | relaxed
# SG: I-4m2, No. 119
# VASP energy, eV per atom: -3.495
# ΔE to the lowest computed polymorph, meV per atom: 275.5
# V, Å³ per cell: 119.3
data_SbPb2Cl
_chemical_formula_sum 'Sb1 Pb2 Cl1'
_cell_length_a 6.745
_cell_length_b 6.745
_cell_length_c 6.745
_cell_angle_alpha 141.24
_cell_angle_beta 141.24
_cell_angle_gamma 55.97
_space_group_name_H-M_alt 'P 1'
_space_group_IT_number 1
_space_group_name_Hall 'P 1'
loop_
_atom_site_label
_atom_site_fract_x
_atom_site_fract_y
_atom_site_fract_z
Cl1 0.750 0.250 0.500
Pb1 0.000 0.000 0.000
Pb2 0.250 0.750 0.500
Sb1 0.500 0.500 0.000

---

[8]
# TmPuPa2N6 | Alexandria | PBE | relaxed
# SG: R3, No. 146
# VASP energy, eV per atom: -10.171
# V, Å³ per cell: 149.5
data_TmPuPa2N6
_chemical_formula_sum 'Tm1 Pu1 Pa2 N6'
_cell_length_a 5.927
_cell_length_b 5.927
_cell_length_c 5.988
_cell_angle_alpha 60.33
_cell_angle_beta 60.33
_cell_angle_gamma 60.00
_space_group_name_H-M_alt 'P 1'
_space_group_IT_number 1
_space_group_name_Hall 'P 1'
loop_
_atom_site_label
_atom_site_fract_x
_atom_site_fract_y
_atom_site_fract_z
Tm1 0.801 0.801 0.597
Pu1 0.309 0.309 0.073
Pa1 0.529 0.529 0.414
Pa2 0.025 0.025 0.925
N1 0.625 0.208 0.244
N2 0.208 0.923 0.244
N3 0.923 0.625 0.244
N4 0.407 0.696 0.758
N5 0.696 0.139 0.758
N6 0.139 0.407 0.758

---

[9]
# Nb2AlZnPd | Alexandria | PBE | relaxed
# SG: P4/mmm, No. 123
# ΔH_f (0 K), eV per formula unit: 4.4
# VASP energy, eV per atom: -5.184
# V, Å³ per cell: 100.9
data_Nb2AlZnPd
_chemical_formula_sum 'Nb2 Al1 Zn1 Pd1'
_cell_length_a 4.715
_cell_length_b 4.539
_cell_length_c 4.715
_cell_angle_alpha 90.00
_cell_angle_beta 90.00
_cell_angle_gamma 90.00
_space_group_name_H-M_alt 'P 1'
_space_group_IT_number 1
_space_group_name_Hall 'P 1'
loop_
_atom_site_label
_atom_site_fract_x
_atom_site_fract_y
_atom_site_fract_z
Nb1 0.000 0.000 0.500
Nb2 0.500 0.000 0.000
Zn1 0.000 0.000 0.000
Pd1 0.000 0.500 0.000
Al1 0.500 0.500 0.500

---

[10]
# Ac3Sm2Er2 | Alexandria | PBE | relaxed
# SG: Cmmm, No. 65
# ΔH_f (0 K), eV per formula unit: 0.5
# VASP energy, eV per atom: -4.347
# V, Å³ per cell: 262.3
data_Ac3Sm2Er2
_chemical_formula_sum 'Ac3 Sm2 Er2'
_cell_length_a 5.615
_cell_length_b 3.726
_cell_length_c 12.849
_cell_angle_alpha 90.00
_cell_angle_beta 77.38
_cell_angle_gamma 90.00
_space_group_name_H-M_alt 'P 1'
_space_group_IT_number 1
_space_group_name_Hall 'P 1'
loop_
_atom_site_label
_atom_site_fract_x
_atom_site_fract_y
_atom_site_fract_z
Ac1 0.846 0.000 0.308
Ac2 0.000 0.000 0.000
Ac3 0.154 0.000 0.692
Sm1 0.573 0.500 0.853
Sm2 0.427 0.500 0.147
Er1 0.715 0.500 0.570
Er2 0.285 0.500 0.430

---

[11]
# CuNi2Ru | Alexandria | PBE | relaxed
# SG: C2/m, No. 12
# ΔH_f (0 K), eV per formula unit: 0.6
# VASP energy, eV per atom: -6.082
# ΔE to the lowest computed polymorph, meV per atom: 64.9
# V, Å³ per cell: 48.1
data_CuNi2Ru
_chemical_formula_sum 'Cu1 Ni2 Ru1'
_cell_length_a 4.428
_cell_length_b 4.428
_cell_length_c 4.525
_cell_angle_alpha 81.49
_cell_angle_beta 81.49
_cell_angle_gamma 33.30
_space_group_name_H-M_alt 'P 1'
_space_group_IT_number 1
_space_group_name_Hall 'P 1'
loop_
_atom_site_label
_atom_site_fract_x
_atom_site_fract_y
_atom_site_fract_z
Cu1 0.250 0.250 0.250
Ni1 0.001 0.001 0.999
Ni2 0.499 0.499 0.501
Ru1 0.750 0.750 0.750

---

[12]
# Ce3Pr2Si4 | Alexandria | PBE | relaxed
# SG: P2_1/c, No. 14
# VASP energy, eV per atom: -6.085
# V, Å³ per cell: 453.5
data_Ce3Pr2Si4
_chemical_formula_sum 'Ce6 Pr4 Si8'
_cell_length_a 7.721
_cell_length_b 7.813
_cell_length_c 7.837
_cell_angle_alpha 90.00
_cell_angle_beta 90.00
_cell_angle_gamma 106.41
_space_group_name_H-M_alt 'P 1'
_space_group_IT_number 1
_space_group_name_Hall 'P 1'
loop_
_atom_site_label
_atom_site_fract_x
_atom_site_fract_y
_atom_site_fract_z
Ce1 0.000 0.500 0.500
Ce2 0.500 0.500 0.000
Ce3 0.751 0.246 0.813
Ce4 0.749 0.754 0.313
Ce5 0.249 0.754 0.187
Ce6 0.251 0.246 0.687
Pr1 0.588 0.202 0.319
Pr2 0.912 0.798 0.819
Pr3 0.412 0.798 0.681
Pr4 0.088 0.202 0.181
Si1 0.885 0.080 0.527
Si2 0.615 0.920 0.027
Si3 0.115 0.920 0.473
Si4 0.385 0.080 0.973
Si5 0.882 0.493 0.114
Si6 0.618 0.507 0.614
Si7 0.118 0.507 0.886
Si8 0.382 0.493 0.386

---

Question: Among the records above, which one has the highest V?
Answer: K9Fe2S7

---

Question: Look up the VASP energy of the sixth one.
Answer: -6.598 eV per atom

---

Question: What is the VASP energy in the seventh record?
Answer: -3.495 eV per atom

---

Question: Number 3 is which compound?
Answer: K9Fe2S7